(1)
PBE-GGA BeZnSe2, relaxed; V = 20.24 A^3/atom; total energy = -3.736 eV per atom; size of the total moment = 0.00 μB/f.u.; DOS at the Fermi energy = 0.00 states/eV/f.u.; formation energy from raw total energies = -0.743 eV per atom
1.0
6.635 0.000 0.000
0.000 7.709 0.000
0.000 0.000 6.331
Be Zn Se
4 4 8
Cartesian
0.513 6.740 6.330 Be
6.122 0.969 3.164 Be
2.805 2.886 3.164 Be
3.830 4.824 6.330 Be
0.582 2.901 6.323 Zn
6.053 4.809 3.158 Zn
2.736 6.755 3.158 Zn
3.899 0.954 6.323 Zn
2.661 6.626 0.683 Se
3.974 1.084 3.849 Se
0.656 2.771 3.849 Se
5.979 4.939 0.683 Se
0.444 6.866 4.073 Se
6.191 0.844 0.908 Se
2.874 3.011 0.908 Se
3.761 4.698 4.073 Se


(2)
PBE-GGA CsGa2N2, relaxed; V = 25.13 A^3/atom; total energy = -4.168 eV per atom; size of the total moment = 0.00 μB/f.u.; DOS at the Fermi energy = 1.72 states/eV/f.u.; formation energy from raw total energies = 0.543 eV per atom
1.0
-4.288 1.133 -7.333
0.124 -8.457 -1.379
-2.962 -0.318 1.683
Cs Ga N
2 4 4
Cartesian
0.000 0.000 0.000 Cs
-2.082 -3.662 -4.356 Cs
-1.951 -5.322 -0.961 Ga
-4.064 -6.825 -4.965 Ga
-5.175 -2.319 -6.069 Ga
-3.061 -0.817 -2.065 Ga
-1.791 -7.488 -4.567 N
-3.983 -3.623 -7.695 N
-2.373 0.164 -4.146 N
-0.181 -3.701 -1.017 N


(3)
PBE-GGA CsZnO, relaxed; V = 30.16 A^3/atom; total energy = -3.120 eV per atom; size of the total moment = 0.00 μB/f.u.; DOS at the Fermi energy = 0.97 states/eV/f.u.; formation energy from raw total energies = -0.758 eV per atom
1.0
-1.003 -3.918 0.586
6.032 -1.784 -1.612
4.825 -0.380 5.747
Cs Zn O
2 2 2
Cartesian
5.890 -0.949 3.763 Cs
3.965 -5.134 0.958 Cs
8.276 -3.837 2.778 Zn
1.579 -2.246 1.943 Zn
3.290 -2.553 2.823 O
6.564 -3.529 1.898 O


(4)
PBE-GGA CaFe2Rh, relaxed; ΔH_f (0 K) = 37.5 kJ per mole of atoms; V = 15.80 A^3/atom; total energy = -6.181 eV per atom; size of the total moment = 5.91 μB/f.u.; DOS at the Fermi energy = 5.20 states/eV/f.u.
1.0
4.468 0.000 0.000
0.000 4.468 0.000
0.000 0.000 3.166
Ca Rh Fe
1 1 2
Cartesian
0.000 2.234 1.583 Ca
2.234 0.000 1.583 Rh
0.000 0.000 0.000 Fe
2.234 2.234 0.000 Fe


(5)
PBE-GGA Dy2Er2AlGa4, relaxed; ΔH_f (0 K) = -22.0 kJ per mole of atoms; V = 23.64 A^3/atom; total energy = -4.025 eV per atom; size of the total moment = 0.00 μB/f.u.; DOS at the Fermi energy = 6.56 states/eV/f.u.
1.0
-0.741 -2.209 6.178
-3.212 -3.311 -4.723
6.008 -0.638 -2.662
Dy Er Al Ga
2 2 1 4
Cartesian
1.924 -2.717 -5.081 Dy
0.872 -1.232 -2.304 Dy
-1.278 -3.747 -1.119 Er
3.333 -2.410 -0.088 Er
0.000 0.000 0.000 Al
-0.897 -2.640 -4.206 Ga
1.725 -4.057 -2.455 Ga
3.693 -1.309 -3.179 Ga
0.330 -2.100 1.248 Ga


(6)
PBE-GGA LiMgP2S6, relaxed; V = 21.20 A^3/atom; total energy = -4.416 eV per atom; size of the total moment = 0.00 μB/f.u.; DOS at the Fermi energy = 1.16 states/eV/f.u.; formation energy from raw total energies = -0.507 eV per atom
1.0
7.069 0.024 0.025
2.316 7.751 0.369
2.316 0.081 7.759
Li Mg P S
2 2 4 12
Cartesian
4.084 2.290 5.643 Li
7.618 5.566 2.510 Li
4.084 6.919 1.182 Mg
7.618 0.937 6.971 Mg
5.193 6.273 5.080 P
2.975 3.001 1.684 P
6.509 1.583 3.073 P
8.727 4.856 6.469 P
5.190 7.658 6.606 S
2.977 1.527 0.243 S
6.511 0.199 1.547 S
8.725 6.329 7.910 S
5.453 7.233 3.313 S
2.714 4.801 0.789 S
6.248 0.623 4.840 S
8.988 3.055 7.364 S
3.331 5.064 5.093 S
4.837 2.942 2.891 S
8.371 2.793 3.060 S
6.865 4.914 5.262 S


(7)
PBE-GGA La3Ho6Sc, relaxed; ΔH_f (0 K) = 14.8 kJ per mole of atoms; V = 32.70 A^3/atom; total energy = -4.705 eV per atom; size of the total moment = 0.00 μB/f.u.; DOS at the Fermi energy = 15.23 states/eV/f.u.
1.0
-3.085 -5.353 -0.947
5.772 -1.709 -9.145
3.794 -3.869 9.513
La Ho Sc
6 12 2
Cartesian
6.768 -6.886 -2.248 La
4.777 -10.053 1.511 La
4.361 -3.375 2.272 La
3.273 -5.555 -2.497 La
-1.605 -6.332 1.265 La
0.386 -3.165 -2.494 La
6.312 -3.866 -0.680 Ho
4.582 -6.746 0.607 Ho
5.647 -6.676 3.879 Ho
4.943 -8.437 -4.505 Ho
4.423 -3.992 -8.688 Ho
2.442 -6.570 3.716 Ho
4.857 -2.941 -4.044 Ho
1.082 -8.633 7.810 Ho
0.768 -3.831 3.691 Ho
0.064 -5.592 -4.693 Ho
3.146 -2.020 -0.802 Ho
1.417 -4.900 0.485 Ho
3.810 -4.098 5.624 Sc
3.446 -5.488 -5.964 Sc


(8)
PBE-GGA BaPrHgPt, relaxed; ΔH_f (0 K) = -50.7 kJ per mole of atoms; V = 28.96 A^3/atom; total energy = -3.786 eV per atom; size of the total moment = 0.00 μB/f.u.; DOS at the Fermi energy = 2.36 states/eV/f.u.
1.0
-0.923 -4.719 2.611
0.030 -4.715 -2.777
4.081 -3.573 0.719
Pr Hg Pt Ba
1 1 1 1
Cartesian
0.000 0.000 0.000 Pr
0.797 -3.252 0.138 Hg
2.391 -9.755 0.414 Pt
1.594 -6.504 0.276 Ba


(9)
PBE-GGA BaCu2Au, relaxed; ΔH_f (0 K) = -24.2 kJ per mole of atoms; V = 23.88 A^3/atom; total energy = -3.599 eV per atom; size of the total moment = 0.00 μB/f.u.; DOS at the Fermi energy = 2.33 states/eV/f.u.
1.0
-0.011 2.623 3.575
-3.850 1.293 1.782
-1.281 -3.201 5.115
Au Ba Cu
1 1 2
Cartesian
-2.570 -0.360 5.767 Au
-1.286 0.193 2.608 Ba
-1.281 -2.403 4.524 Cu
-3.856 0.443 7.924 Cu


(10)
PBE-GGA HfTa14Ti, relaxed; ΔH_f (0 K) = 3.9 kJ per mole of atoms; V = 18.43 A^3/atom; total energy = -11.446 eV per atom; size of the total moment = 0.00 μB/f.u.; DOS at the Fermi energy = 24.83 states/eV/f.u.
1.0
-1.845 0.083 -5.471
2.762 -4.961 1.049
-8.101 -3.946 2.672
Hf Ta Ti
1 14 1
Cartesian
-4.169 -3.779 -1.692 Hf
2.186 -4.330 0.234 Ta
-0.118 -1.808 -3.026 Ta
-3.244 -3.828 1.042 Ta
0.805 -1.850 -0.290 Ta
-2.787 -6.257 -1.161 Ta
1.264 -4.289 -2.502 Ta
-6.476 -3.546 0.122 Ta
-2.328 -1.526 -1.246 Ta
-6.008 -6.036 -2.134 Ta
-1.860 -4.015 -3.503 Ta
-5.030 -6.015 0.596 Ta
-1.011 -4.058 -0.730 Ta
-7.323 -3.503 -2.651 Ta
-3.307 -1.547 -3.975 Ta
-1.863 -6.305 1.572 Ti


(11)
PBE-GGA Er12Ni3H5, relaxed; V = 20.23 A^3/atom; total energy = -4.723 eV per atom; size of the total moment = 0.00 μB/f.u.; DOS at the Fermi energy = 19.82 states/eV/f.u.
1.0
-4.543 -3.203 -11.541
-7.934 -4.347 9.069
0.883 12.751 0.853
Ni H Er
12 20 48
Cartesian
-6.272 -2.439 -5.148 Ni
-9.815 -4.469 -3.190 Ni
-7.102 3.508 3.007 Ni
-1.797 3.437 -1.432 Ni
-4.746 -0.158 -8.752 Ni
-6.442 -0.730 1.554 Ni
-5.153 5.931 -3.172 Ni
-6.848 5.359 7.133 Ni
-9.798 1.763 -0.187 Ni
-4.492 1.693 -4.626 Ni
-1.779 9.670 1.571 Ni
-5.322 7.639 3.529 Ni
-3.322 1.157 2.172 H
-3.967 -2.174 4.535 H
0.000 0.000 0.000 H
-3.577 -0.694 -1.954 H
-1.830 4.774 -5.344 H
-6.239 -3.775 -1.236 H
-6.187 1.121 5.679 H
-3.627 8.211 -6.776 H
-8.035 -0.338 -2.668 H
-2.033 7.819 -2.555 H
-9.561 -2.618 0.936 H
-5.797 2.600 -0.809 H
-2.272 -1.602 -5.771 H
0.441 6.376 0.426 H
-3.559 5.538 1.049 H
-7.968 -3.011 5.157 H
-3.526 4.202 4.961 H
-5.407 4.080 -7.298 H
-8.018 5.895 0.335 H
-8.272 4.043 -3.790 H
-4.180 -2.485 -7.156 Er
-5.221 1.900 1.540 Er
-7.193 -1.153 -7.552 Er
-3.997 -1.097 -4.007 Er
-7.781 3.778 0.200 Er
-8.970 -3.277 -5.695 Er
-7.271 0.747 3.879 Er
-7.490 -2.703 7.215 Er
-9.818 2.663 2.570 Er
-7.816 -2.461 -2.693 Er
-6.988 0.277 -4.423 Er
-10.845 -6.204 -1.106 Er
-5.760 3.209 5.561 Er
-4.865 -1.755 -0.624 Er
-7.291 0.602 7.431 Er
-2.259 5.759 -3.067 Er
-1.756 1.619 0.797 Er
-7.548 -3.323 0.867 Er
-10.598 -2.901 -0.908 Er
-3.663 -0.941 2.360 Er
-8.765 4.543 5.115 Er
-7.258 0.551 -0.889 Er
-10.078 0.282 -2.665 Er
-5.222 7.665 -5.468 Er
-4.336 4.650 -0.729 Er
-1.517 4.919 1.046 Er
-6.372 -2.464 3.849 Er
-0.996 8.102 -0.711 Er
-2.829 0.657 -6.733 Er
-7.931 6.142 -3.979 Er
-4.047 8.523 -2.486 Er
-9.335 -0.559 1.448 Er
-9.838 3.582 -2.416 Er
-4.303 4.599 -9.049 Er
-5.834 1.992 -7.180 Er
-0.749 11.405 -0.513 Er
-6.729 6.956 -0.995 Er
-1.777 2.537 -4.189 Er
-3.778 7.661 1.074 Er
-4.606 4.924 2.804 Er
-4.104 7.904 -8.833 Er
-4.323 4.454 -5.498 Er
-7.597 6.298 2.389 Er
-2.625 8.478 4.076 Er
-3.814 1.423 -1.819 Er
-4.402 6.353 5.933 Er
-6.374 3.300 -3.158 Er
-7.415 7.685 5.537 Er


(12)
PBE-GGA Tl2Sn2Te3, relaxed; V = 35.51 A^3/atom; total energy = -3.378 eV per atom; size of the total moment = 0.00 μB/f.u.; DOS at the Fermi energy = 0.66 states/eV/f.u.; formation energy from raw total energies = -0.212 eV per atom
1.0
4.923 0.000 -1.438
-1.007 7.245 -3.446
-0.155 -3.106 8.618
Tl Sn Te
2 2 3
Cartesian
1.272 -0.447 4.357 Tl
2.489 4.586 -0.623 Tl
0.169 1.527 0.577 Sn
3.593 2.611 3.156 Sn
-0.503 3.622 -1.723 Te
3.026 0.413 1.216 Te
0.735 3.726 2.518 Te